[1]
The following is a DFT calculation (GGA-PBE) of crystalline La7Co2Hg2 at its relaxed geometry.

Values from the calculation:
The value obtained for the magnetization is 0.00 μB per formula unit. As for the density: 7298 kg/m³. Its calculated volume is 339 Å³/cell. The density of states at the Fermi level is 13.60 states/eV per cell. The value obtained for the formation energy is -189 meV per atom.

```
11
Lattice="4.0382 -5.7928 0.0000 4.0382 5.7928 0.0000 0.0000 0.0000 7.2532" Properties=species:S:1:pos:R:3 pbc="T T T"
La 0.0000 0.0000 0.0000
La 2.0191 2.8964 1.7855
La 2.0191 2.8964 5.4678
La 2.0191 -2.8964 1.7855
La 2.0191 -2.8964 5.4678
La 4.0382 0.0000 1.6726
La 4.0382 0.0000 5.5806
Co 4.0382 2.4176 0.0000
Co 4.0382 -2.4176 0.0000
Hg 1.4327 0.0000 3.6266
Hg 6.6437 0.0000 3.6266
```



[2]
The following is a DFT calculation (GGA-PBE) of crystalline CaTb2Th3Bi6 at its relaxed geometry.

Values from the calculation:
The value obtained for the magnetization is 0.00 μB per formula unit. As for the density: 9497 kg/m³. Its calculated volume is 404 Å³/cell. The density of states at the Fermi level is 5.09 states/eV per cell. The value obtained for the formation energy is -733 meV per atom.

```
12
Lattice="9.9320 -2.2864 0.0000 9.9320 2.2864 0.0000 -2.0182 0.0000 8.8851" Properties=species:S:1:pos:R:3 pbc="T T T"
Ca 0.0000 0.0000 0.0000
Tb 5.2773 0.0000 5.9232
Tb 12.5685 0.0000 2.9619
Th -1.0091 0.0000 4.4426
Th 6.3207 0.0000 1.4856
Th 11.5252 0.0000 7.3995
Bi 3.1383 0.0000 0.7834
Bi 2.1775 0.0000 5.1471
Bi 8.3724 0.0000 6.6694
Bi 9.4734 0.0000 2.2157
Bi 15.6684 0.0000 3.7380
Bi 14.7075 0.0000 8.1017
```